Entry 1:
VASP calculation (PBE) on an optimized crystal structure of TcGe2O6.

Computed properties:
Size of the total moment   2.25 μB per formula unit
Formation energy (no corrections)   -1.388 eV/atom

abc: 9.9457 3.0114 8.1868
angles: 90.00 94.40 90.00
Space group C2/m (No. 12)
Symmetry-distinct sites (fractional):
Tc 0.0000 0.0000 0.0000
Ge 0.2154 0.5000 0.7321
O 0.1121 0.0000 0.2051
O 0.1172 0.5000 0.9105
O 0.1717 0.0000 0.6235

Entry 2:
VASP calculation (PBE) on an optimized crystal structure of TcGeO2.

Computed properties:
Size of the total moment   0.00 μB per formula unit
Formation energy (no corrections)   -0.531 eV/atom

abc: 2.9663 2.9663 19.5843
angles: 90.00 90.00 120.00
Space group R-3m (No. 166, hexagonal axes)
Symmetry-distinct sites (fractional):
Tc 0.0000 0.0000 0.0000
Ge 0.0000 0.0000 0.5000
O 0.0000 0.0000 0.1007

Entry 3:
VASP calculation (PBE) on an optimized crystal structure of TcGeO2.

Computed properties:
Size of the total moment   0.00 μB per formula unit
Formation energy (no corrections)   -0.887 eV/atom

abc: 2.8222 2.8222 20.9979
angles: 90.00 90.00 120.00
Space group R-3m (No. 166, hexagonal axes)
Symmetry-distinct sites (fractional):
Tc 0.0000 0.0000 0.0000
Ge 0.0000 0.0000 0.5000
O 0.0000 0.0000 0.3966